# PBE Y3SnO6, relaxed
# Fermi-level density of states	0.00	states/eV/f.u.
# total magnetic moment	0.000	μB/f.u.
# calculated total energy	-498.1	eV for the cell shown
data_Y3SnO6
_chemical_formula_sum 'Y18 Sn6 O36'
_cell_length_a 9.7918
_cell_length_b 9.7918
_cell_length_c 11.1273
_cell_angle_alpha 90.00
_cell_angle_beta 90.00
_cell_angle_gamma 120.00
_space_group_name_H-M_alt 'R -3'
_space_group_IT_number 148
_space_group_name_Hall '-R 3'
loop_
_atom_site_label
_atom_site_type_symbol
_atom_site_fract_x
_atom_site_fract_y
_atom_site_fract_z
Y1 Y 0.0410 0.7748 0.2060
Sn1 Sn 0.0000 0.0000 0.0000
Sn2 Sn 0.0000 0.0000 0.5000
O1 O 0.0305 0.7897 0.4045
O2 O 0.0304 0.8496 0.8808